No. 1
First-principles (GGA-PBE) data for an optimized crystal structure of CdReW2, as listed in Alexandria via LeMat-Bulk.

The calculation puts the energy relative to the elements at 0.49 eV per atom.

The space group is P2/m (No. 10) and the conventional cell measures 2.7560, 4.3518 and 5.6251 Å, with angles of 90.00, 98.73 and 90.00 degrees. Symmetry generates all atoms from Cd at (0.0000, 0.0000, 0.0000), Re at (0.0000, 0.0000, 0.5000) and W at (0.4493, 0.5000, 0.7315).

=====

No. 2
First-principles (GGA-PBE) data for an optimized crystal structure of CdRe3W, as listed in Alexandria via LeMat-Bulk.

The calculation puts the energy relative to the elements at 2.15 eV per atom. The calculation puts the energy relative to the lowest polymorph listed for this composition at 0 meV per atom.

The space group is Pm-3m (No. 221) and the conventional cell measures 4.7724, 4.7724 and 4.7724 Å, with angles of 90.00, 90.00 and 90.00 degrees. Symmetry generates all atoms from Cd at (0.0000, 0.0000, 0.0000), Re at (0.0000, 0.5000, 0.5000) and W at (0.5000, 0.5000, 0.5000).

=====

No. 3
First-principles (GGA-PBE) data for an optimized crystal structure of CdReW2, as listed in Alexandria via LeMat-Bulk.

The calculation puts the energy relative to the elements at 0.47 eV per atom.

The space group is P4/mmm (No. 123) and the conventional cell measures 2.9469, 2.9469 and 7.8998 Å, with angles of 90.00, 90.00 and 90.00 degrees. Symmetry generates all atoms from Cd at (0.0000, 0.0000, 0.0000), Re at (0.0000, 0.0000, 0.5000) and W at (0.5000, 0.5000, 0.2827).

=====

No. 4
First-principles (GGA-PBE) data for an optimized crystal structure of CdReW2, as listed in Alexandria via LeMat-Bulk.

The calculation puts the energy relative to the elements at 0.55 eV per atom.

The space group is C2/m (No. 12) and the conventional cell measures 5.5780, 9.0368 and 2.7303 Å, with angles of 90.00, 105.81 and 90.00 degrees. Symmetry generates all atoms from Cd at (0.0000, 0.0000, 0.0000), Re at (0.0000, 0.5000, 0.0000) and W at (0.2500, 0.2500, 0.5000).

=====

No. 5
First-principles (GGA-PBE) data for an optimized crystal structure of CdReW2, as listed in Alexandria via LeMat-Bulk.

The calculation puts the energy relative to the elements at 0.54 eV per atom.

The space group is Cm (No. 8) and the conventional cell measures 10.2603, 3.1622 and 4.5996 Å, with angles of 90.00, 116.10 and 90.00 degrees. Symmetry generates all atoms from Cd at (0.0000, 0.0000, 0.0000), Re at (0.2359, 0.0000, 0.7366), W at (0.0054, 0.5000, 0.5054) and W at (0.2687, 0.5000, 0.2694).

=====

No. 6
First-principles (GGA-PBE) data for an optimized crystal structure of Cd3ReW, as listed in Alexandria via LeMat-Bulk.

The calculation puts the energy relative to the elements at 2.12 eV per atom. The calculation puts the energy relative to the lowest polymorph listed for this composition at 0 meV per atom.

The space group is Pm-3m (No. 221) and the conventional cell measures 5.1789, 5.1789 and 5.1789 Å, with angles of 90.00, 90.00 and 90.00 degrees. Symmetry generates all atoms from Cd at (0.0000, 0.0000, 0.5000), Re at (0.0000, 0.0000, 0.0000) and W at (0.5000, 0.5000, 0.5000).

=====

No. 7
First-principles (GGA-PBE) data for an optimized crystal structure of CdReW2, as listed in Alexandria via LeMat-Bulk.

The calculation puts the energy relative to the elements at 0.51 eV per atom.

The space group is P4mm (No. 99) and the conventional cell measures 3.2987, 3.2987 and 6.3019 Å, with angles of 90.00, 90.00 and 90.00 degrees. Symmetry generates all atoms from Cd at (0.0000, 0.0000, 0.0000), Re at (0.5000, 0.5000, 0.2836), W at (0.0000, 0.0000, 0.4941) and W at (0.5000, 0.5000, 0.7148).

=====

No. 8
First-principles (GGA-PBE) data for an optimized crystal structure of CdReW2, as listed in Alexandria via LeMat-Bulk.

The calculation puts the energy relative to the elements at 0.60 eV per atom.

The space group is P4/mmm (No. 123) and the conventional cell measures 4.0096, 4.0096 and 4.0847 Å, with angles of 90.00, 90.00 and 90.00 degrees. Symmetry generates all atoms from Cd at (0.0000, 0.0000, 0.0000), Re at (0.5000, 0.5000, 0.0000) and W at (0.0000, 0.5000, 0.5000).

=====

No. 9
First-principles (GGA-PBE) data for an optimized crystal structure of CdReW2, as listed in Alexandria via LeMat-Bulk.

The calculation puts the energy relative to the elements at 0.42 eV per atom.

The space group is R-3m (No. 166, hexagonal axes) and the conventional cell measures 2.8558, 2.8558 and 28.6454 Å, with angles of 90.00, 90.00 and 120.00 degrees. Symmetry generates all atoms from Cd at (0.0000, 0.0000, 0.0000), Re at (0.0000, 0.0000, 0.5000) and W at (0.0000, 0.0000, 0.2434).

=====

No. 10
First-principles (GGA-PBE) data for an optimized crystal structure of Cd4ReW, as listed in Alexandria via LeMat-Bulk.

The calculation puts the energy relative to the elements at 0.99 eV per atom.

The space group is F-43m (No. 216) and the conventional cell measures 7.6145, 7.6145 and 7.6145 Å, with angles of 90.00, 90.00 and 90.00 degrees. Symmetry generates all atoms from Cd at (0.1250, 0.1250, 0.1250), Re at (0.2500, 0.2500, 0.7500) and W at (0.0000, 0.0000, 0.5000).

=====

No. 11
First-principles (GGA-PBE) data for an optimized crystal structure of CdReW2, as listed in Alexandria via LeMat-Bulk.

The calculation puts the energy relative to the elements at 0.53 eV per atom.

The space group is Immm (No. 71) and the conventional cell measures 3.2048, 4.5465 and 9.1809 Å, with angles of 90.00, 90.00 and 90.00 degrees. Symmetry generates all atoms from Cd at (0.0000, 0.0000, 0.0000), Re at (0.0000, 0.0000, 0.5000) and W at (0.0000, 0.5000, 0.2328).

=====

No. 12
First-principles (GGA-PBE) data for an optimized crystal structure of CdReW2, as listed in Alexandria via LeMat-Bulk.

The calculation puts the energy relative to the elements at 0.64 eV per atom.

The space group is F-43m (No. 216) and the conventional cell measures 6.4294, 6.4294 and 6.4294 Å, with angles of 90.00, 90.00 and 90.00 degrees. Symmetry generates all atoms from Cd at (0.0000, 0.0000, 0.0000), Re at (0.2500, 0.2500, 0.2500), W at (0.0000, 0.0000, 0.5000) and W at (0.2500, 0.2500, 0.7500).